Material: BC
Method: DFT, PBE
State: relaxed

Calculated values
Its distance to the lowest polymorph of the same formula is 155.1 meV per atom. Its final energy is -7.64 eV per atom. Its density of states at the Fermi level is 1.5 states/eV/cell. The value obtained for the energy of formation is 0.3059 eV per atom. The space group is Cm.

CIF file:
```
data_BC
_chemical_formula_sum 'B6 C6'
_space_group_name_H-M_alt 'P 1'
_space_group_IT_number 1
_space_group_name_Hall 'P 1'
_cell_length_a 6.188
_cell_length_b 6.188
_cell_length_c 5.391
_cell_angle_alpha 104.84
_cell_angle_beta 104.84
_cell_angle_gamma 24.69
loop_
_atom_site_label
_atom_site_fract_x
_atom_site_fract_y
_atom_site_fract_z
B1 0.000 0.000 0.000
B2 0.007 0.007 0.398
B3 0.233 0.233 0.845
B4 0.254 0.254 0.348
B5 0.635 0.635 0.282
B6 0.868 0.868 0.739
C1 0.315 0.315 0.642
C2 0.322 0.322 0.133
C3 0.567 0.567 0.507
C4 0.568 0.568 0.979
C5 0.638 0.638 0.786
C6 0.895 0.895 0.150
```